A plane-wave DFT calculation with SCAN was carried out for a crystal of InCo2RuPb relaxed with PBEsol.

For the total DFT energy (no corrections), the calculation gives -33.895 eV/atom. The formation enthalpy at 0 K is 1.825 eV/atom. The calculation puts the density of states at the Fermi level at 0.685 states/eV/atom.

The structure belongs to space group P4/mmm (No. 123); the cell edges are 4.626, 4.626 and 5.319 Å and the angles 90.00°, 90.00° and 90.00°. Symmetry generates all atoms from In at (0.000, 0.000, 0.000), Co at (0.000, 0.500, 0.500), Ru at (0.500, 0.500, 0.000) and Pb at (0.000, 0.000, 0.500).